GdThScTc, optimized geometry, DFT PBE-GGA; theoretical density = 9.2 g cm⁻³; energy of formation from the pure elements = 0.1002 eV per atom; N(E_F) = 6.4 states/eV/f.u.
1.0
0.0000 3.6309 3.6309
3.6309 0.0000 3.6309
3.6309 3.6309 0.0000
Gd Th Sc Tc
1 1 1 1
direct
0.0000 0.0000 0.0000 Gd
0.5000 0.5000 0.5000 Th
0.7500 0.7500 0.7500 Sc
0.2500 0.2500 0.2500 Tc

GdSc2Te, optimized geometry, DFT PBE-GGA; theoretical density = 5.3 g cm⁻³; formation energy (no corrections) = -0.172 eV per atom; N(E_F) = 5.9 states/eV/f.u.; energy relative to the lowest polymorph listed for this composition = 318 meV per atom
1.0
1.8439 1.0646 9.9523
-1.8439 1.0646 9.9523
0.0000 -2.1291 9.9523
Gd Sc Te
1 2 1
direct
0.0000 0.0000 0.0000 Gd
0.1015 0.1015 0.1015 Sc
0.8985 0.8985 0.8985 Sc
0.5000 0.5000 0.5000 Te

GdScTe2, optimized geometry, DFT PBE-GGA; theoretical density = 6.8 g cm⁻³; formation energy (no corrections) = -1.256 eV per atom; N(E_F) = 4.0 states/eV/f.u.; energy relative to the lowest polymorph listed for this composition = 0 meV per atom
1.0
2.1436 1.2376 7.0008
-2.1436 1.2376 7.0008
0.0000 -2.4753 7.0008
Gd Sc Te
1 1 2
direct
0.0000 0.0000 0.0000 Gd
0.5000 0.5000 0.5000 Sc
0.2440 0.2440 0.2440 Te
0.7560 0.7560 0.7560 Te

GdScTe2, optimized geometry, DFT PBE-GGA; theoretical density = 7.3 g cm⁻³; formation energy (no corrections) = -1.095 eV per atom; N(E_F) = 4.1 states/eV/f.u.; energy relative to the lowest polymorph listed for this composition = 161 meV per atom
1.0
5.2664 0.0000 0.0000
0.0000 5.2664 0.0000
0.0000 0.0000 3.7409
Gd Sc Te
1 1 2
direct
0.0000 0.0000 0.0000 Gd
0.5000 0.5000 0.0000 Sc
0.0000 0.5000 0.5000 Te
0.5000 0.0000 0.5000 Te

GdScTe2, optimized geometry, DFT PBE-GGA; theoretical density = 7.3 g cm⁻³; formation energy (no corrections) = -1.094 eV per atom; N(E_F) = 3.7 states/eV/f.u.; energy relative to the lowest polymorph listed for this composition = 162 meV per atom
1.0
0.0000 3.7300 3.7300
3.7300 0.0000 3.7300
3.7300 3.7300 0.0000
Gd Sc Te
1 1 2
direct
0.0000 0.0000 0.0000 Gd
0.5000 0.5000 0.5000 Sc
0.2500 0.2500 0.2500 Te
0.7500 0.7500 0.7500 Te

GdSc2Te, optimized geometry, DFT PBE-GGA; theoretical density = 6.2 g cm⁻³; formation energy (no corrections) = -0.490 eV per atom; N(E_F) = 5.7 states/eV/f.u.; energy relative to the lowest polymorph listed for this composition = 0 meV per atom
1.0
3.7434 0.0000 0.0000
0.0000 3.7434 0.0000
0.0000 0.0000 7.2051
Gd Sc Te
1 2 1
direct
0.0000 0.0000 0.0000 Gd
0.5000 0.5000 0.2798 Sc
0.5000 0.5000 0.7202 Sc
0.0000 0.0000 0.5000 Te

GdThSc2, optimized geometry, DFT PBE-GGA; theoretical density = 7.0 g cm⁻³; energy of formation from the pure elements = 0.0517 eV per atom; N(E_F) = 6.0 states/eV/f.u.; energy relative to the lowest polymorph listed for this composition = 16 meV per atom
1.0
3.8933 0.0000 0.0000
0.0000 3.8933 0.0000
0.0000 0.0000 7.4596
Gd Th Sc
1 1 2
direct
0.0000 0.0000 0.0000 Gd
0.0000 0.0000 0.5000 Th
0.5000 0.5000 0.2565 Sc
0.5000 0.5000 0.7435 Sc

GdThSc, optimized geometry, DFT PBE-GGA; theoretical density = 8.1 g cm⁻³; energy of formation from the pure elements = 0.0408 eV per atom; N(E_F) = 4.2 states/eV/f.u.; energy relative to the lowest polymorph listed for this composition = 0 meV per atom
1.0
-1.7595 1.7595 7.1953
1.7595 -1.7595 7.1953
1.7595 1.7595 -7.1953
Gd Th Sc
1 1 1
direct
0.0000 0.0000 0.0000 Gd
0.3299 0.3299 0.0000 Th
0.6742 0.6742 0.0000 Sc

Gd2ThSc, optimized geometry, DFT PBE-GGA; theoretical density = 8.0 g cm⁻³; energy of formation from the pure elements = 0.1660 eV per atom; N(E_F) = 5.3 states/eV/f.u.; energy relative to the lowest polymorph listed for this composition = 116 meV per atom
1.0
0.0000 3.9502 3.9502
3.9502 0.0000 3.9502
3.9502 3.9502 0.0000
Gd Th Sc
2 1 1
direct
0.2500 0.2500 0.2500 Gd
0.7500 0.7500 0.7500 Gd
0.0000 0.0000 0.0000 Th
0.5000 0.5000 0.5000 Sc

GdThSc2, optimized geometry, DFT PBE-GGA; theoretical density = 7.1 g cm⁻³; energy of formation from the pure elements = 0.0354 eV per atom; N(E_F) = 5.2 states/eV/f.u.; energy relative to the lowest polymorph listed for this composition = 0 meV per atom
1.0
4.9942 0.0000 0.0000
0.0000 4.9942 0.0000
0.0000 0.0000 4.5116
Gd Th Sc
1 1 2
direct
0.0000 0.0000 0.0000 Gd
0.5000 0.5000 0.0000 Th
0.0000 0.5000 0.5000 Sc
0.5000 0.0000 0.5000 Sc

Gd2ThSc, optimized geometry, DFT PBE-GGA; theoretical density = 8.1 g cm⁻³; energy of formation from the pure elements = 0.0501 eV per atom; N(E_F) = 5.2 states/eV/f.u.; energy relative to the lowest polymorph listed for this composition = 0 meV per atom
1.0
4.8917 0.0000 0.0000
0.0000 4.8917 0.0000
0.0000 0.0000 5.0372
Gd Th Sc
2 1 1
direct
0.0000 0.5000 0.0000 Gd
0.5000 0.0000 0.0000 Gd
0.0000 0.0000 0.5000 Th
0.5000 0.5000 0.5000 Sc

Gd2ThSc, optimized geometry, DFT PBE-GGA; theoretical density = 8.1 g cm⁻³; energy of formation from the pure elements = 0.0689 eV per atom; N(E_F) = 8.0 states/eV/f.u.; energy relative to the lowest polymorph listed for this composition = 19 meV per atom
1.0
3.5219 0.0000 0.0000
0.0000 3.5219 0.0000
0.0000 0.0000 9.8175
Gd Th Sc
2 1 1
direct
0.0000 0.0000 0.2437 Gd
0.0000 0.0000 0.7563 Gd
0.5000 0.5000 0.5000 Th
0.5000 0.5000 0.0000 Sc

GdThSc, optimized geometry, DFT PBE-GGA; theoretical density = 8.1 g cm⁻³; energy of formation from the pure elements = 0.0490 eV per atom; N(E_F) = 5.1 states/eV/f.u.; energy relative to the lowest polymorph listed for this composition = 8 meV per atom
1.0
3.5069 0.0000 0.0000
-1.7534 3.0370 0.0000
0.0000 0.0000 8.3564
Gd Th Sc
1 1 1
direct
0.0000 0.0000 0.0000 Gd
0.3333 0.6667 0.6579 Th
0.6667 0.3333 0.3399 Sc

Gd2ThSc, optimized geometry, DFT PBE-GGA; theoretical density = 8.1 g cm⁻³; energy of formation from the pure elements = 0.0687 eV per atom; N(E_F) = 8.6 states/eV/f.u.; energy relative to the lowest polymorph listed for this composition = 19 meV per atom
1.0
1.7602 1.0163 11.3286
-1.7602 1.0163 11.3286
0.0000 -2.0325 11.3286
Gd Th Sc
2 1 1
direct
0.2483 0.2483 0.2483 Gd
0.7517 0.7517 0.7517 Gd
0.0000 0.0000 0.0000 Th
0.5000 0.5000 0.5000 Sc

GdThScTi, optimized geometry, DFT PBE-GGA; theoretical density = 7.7 g cm⁻³; energy of formation from the pure elements = 0.1599 eV per atom; N(E_F) = 5.8 states/eV/f.u.
1.0
0.0000 3.7318 3.7318
3.7318 0.0000 3.7318
3.7318 3.7318 0.0000
Gd Th Sc Ti
1 1 1 1
direct
0.0000 0.0000 0.0000 Gd
0.5000 0.5000 0.5000 Th
0.7500 0.7500 0.7500 Sc
0.2500 0.2500 0.2500 Ti

GdThScTl, optimized geometry, DFT PBE-GGA; theoretical density = 9.3 g cm⁻³; energy of formation from the pure elements = 0.0165 eV per atom; N(E_F) = 5.5 states/eV/f.u.
1.0
0.0000 3.8489 3.8489
3.8489 0.0000 3.8489
3.8489 3.8489 0.0000
Gd Th Sc Tl
1 1 1 1
direct
0.0000 0.0000 0.0000 Gd
0.5000 0.5000 0.5000 Th
0.2500 0.2500 0.2500 Sc
0.7500 0.7500 0.7500 Tl

GdTmThSc, optimized geometry, DFT PBE-GGA; theoretical density = 8.4 g cm⁻³; energy of formation from the pure elements = 0.0899 eV per atom; N(E_F) = 6.7 states/eV/f.u.
1.0
0.0000 3.9101 3.9101
3.9101 0.0000 3.9101
3.9101 3.9101 0.0000
Gd Tm Th Sc
1 1 1 1
direct
0.0000 0.0000 0.0000 Gd
0.2500 0.2500 0.2500 Tm
0.5000 0.5000 0.5000 Th
0.7500 0.7500 0.7500 Sc

GdThZrSc, optimized geometry, DFT PBE-GGA; theoretical density = 7.9 g cm⁻³; energy of formation from the pure elements = 0.1115 eV per atom; N(E_F) = 6.3 states/eV/f.u.
1.0
0.0000 3.8041 3.8041
3.8041 0.0000 3.8041
3.8041 3.8041 0.0000
Gd Th Zr Sc
1 1 1 1
direct
0.0000 0.0000 0.0000 Gd
0.5000 0.5000 0.5000 Th
0.2500 0.2500 0.2500 Zr
0.7500 0.7500 0.7500 Sc

GdSc2Ti, optimized geometry, DFT PBE-GGA; theoretical density = 4.9 g cm⁻³; energy of formation from the pure elements = 0.1345 eV per atom; N(E_F) = 6.9 states/eV/f.u.; energy relative to the lowest polymorph listed for this composition = 0 meV per atom
1.0
3.5989 0.0000 0.0000
0.0000 3.5989 0.0000
0.0000 0.0000 7.6598
Gd Sc Ti
1 2 1
direct
0.0000 0.0000 0.0000 Gd
0.5000 0.5000 0.2961 Sc
0.5000 0.5000 0.7039 Sc
0.0000 0.0000 0.5000 Ti

Gd2ScTi, optimized geometry, DFT PBE-GGA; theoretical density = 6.5 g cm⁻³; energy of formation from the pure elements = 0.1777 eV per atom; N(E_F) = 6.5 states/eV/f.u.; energy relative to the lowest polymorph listed for this composition = 0 meV per atom
1.0
3.3565 0.0000 0.0000
0.0000 3.3565 0.0000
0.0000 0.0000 9.1794
Gd Sc Ti
2 1 1
direct
0.0000 0.0000 0.2316 Gd
0.0000 0.0000 0.7684 Gd
0.5000 0.5000 0.5000 Sc
0.5000 0.5000 0.0000 Ti

Gd2ScTi, optimized geometry, DFT PBE-GGA; theoretical density = 6.6 g cm⁻³; energy of formation from the pure elements = 0.1901 eV per atom; N(E_F) = 6.6 states/eV/f.u.; energy relative to the lowest polymorph listed for this composition = 12 meV per atom
1.0
4.7367 0.0000 0.0000
0.0000 4.7367 0.0000
0.0000 0.0000 4.6001
Gd Sc Ti
2 1 1
direct
0.0000 0.5000 0.0000 Gd
0.5000 0.0000 0.0000 Gd
0.0000 0.0000 0.5000 Sc
0.5000 0.5000 0.5000 Ti

Gd2ScTi, optimized geometry, DFT PBE-GGA; theoretical density = 6.5 g cm⁻³; energy of formation from the pure elements = 0.2353 eV per atom; N(E_F) = 8.2 states/eV/f.u.; energy relative to the lowest polymorph listed for this composition = 58 meV per atom
1.0
0.0000 3.7319 3.7319
3.7319 0.0000 3.7319
3.7319 3.7319 0.0000
Gd Sc Ti
2 1 1
direct
0.2500 0.2500 0.2500 Gd
0.7500 0.7500 0.7500 Gd
0.0000 0.0000 0.0000 Sc
0.5000 0.5000 0.5000 Ti

GdSc2Ti, optimized geometry, DFT PBE-GGA; theoretical density = 5.1 g cm⁻³; energy of formation from the pure elements = 0.2134 eV per atom; N(E_F) = 8.7 states/eV/f.u.; energy relative to the lowest polymorph listed for this composition = 79 meV per atom
1.0
0.0000 3.6401 3.6401
3.6401 0.0000 3.6401
3.6401 3.6401 0.0000
Gd Sc Ti
1 2 1
direct
0.0000 0.0000 0.0000 Gd
0.2500 0.2500 0.2500 Sc
0.7500 0.7500 0.7500 Sc
0.5000 0.5000 0.5000 Ti

GdSc2Ti, optimized geometry, DFT PBE-GGA; theoretical density = 5.1 g cm⁻³; energy of formation from the pure elements = 0.1485 eV per atom; N(E_F) = 5.9 states/eV/f.u.; energy relative to the lowest polymorph listed for this composition = 14 meV per atom
1.0
1.6179 0.9341 10.5668
-1.6179 0.9341 10.5668
0.0000 -1.8682 10.5668
Gd Sc Ti
1 2 1
direct
0.0000 0.0000 0.0000 Gd
0.2414 0.2414 0.2414 Sc
0.7586 0.7586 0.7586 Sc
0.5000 0.5000 0.5000 Ti

GdTmScTi, optimized geometry, DFT PBE-GGA; theoretical density = 6.8 g cm⁻³; energy of formation from the pure elements = 0.2196 eV per atom; N(E_F) = 8.8 states/eV/f.u.
1.0
0.0000 3.7123 3.7123
3.7123 0.0000 3.7123
3.7123 3.7123 0.0000
Gd Tm Sc Ti
1 1 1 1
direct
0.0000 0.0000 0.0000 Gd
0.5000 0.5000 0.5000 Tm
0.7500 0.7500 0.7500 Sc
0.2500 0.2500 0.2500 Ti

GdZrScTi, optimized geometry, DFT PBE-GGA; theoretical density = 6.0 g cm⁻³; energy of formation from the pure elements = 0.1916 eV per atom; N(E_F) = 7.1 states/eV/f.u.
1.0
0.0000 3.6143 3.6143
3.6143 0.0000 3.6143
3.6143 3.6143 0.0000
Gd Zr Sc Ti
1 1 1 1
direct
0.0000 0.0000 0.0000 Gd
0.5000 0.5000 0.5000 Zr
0.2500 0.2500 0.2500 Sc
0.7500 0.7500 0.7500 Ti

GdScTl2, optimized geometry, DFT PBE-GGA; theoretical density = 9.8 g cm⁻³; energy of formation from the pure elements = -0.3096 eV per atom; N(E_F) = 2.4 states/eV/f.u.; energy relative to the lowest polymorph listed for this composition = 20 meV per atom
1.0
0.0000 3.7232 3.7232
3.7232 0.0000 3.7232
3.7232 3.7232 0.0000
Gd Sc Tl
1 1 2
direct
0.0000 0.0000 0.0000 Gd
0.5000 0.5000 0.5000 Sc
0.2500 0.2500 0.2500 Tl
0.7500 0.7500 0.7500 Tl

GdScTl, optimized geometry, DFT PBE-GGA; theoretical density = 8.2 g cm⁻³; energy of formation from the pure elements = -0.1883 eV per atom; N(E_F) = 3.1 states/eV/f.u.; energy relative to the lowest polymorph listed for this composition = 30 meV per atom
1.0
5.0763 0.0000 0.0000
-2.5381 4.3962 0.0000
0.0000 0.0000 3.6785
Gd Sc Tl
1 1 1
direct
0.0000 0.0000 0.0000 Gd
0.6667 0.3333 0.4993 Sc
0.3333 0.6667 0.5011 Tl

GdScTl, optimized geometry, DFT PBE-GGA; theoretical density = 8.4 g cm⁻³; energy of formation from the pure elements = -0.2184 eV per atom; N(E_F) = 2.7 states/eV/f.u.; energy relative to the lowest polymorph listed for this composition = 0 meV per atom
1.0
-1.8470 1.8470 5.9077
1.8470 -1.8470 5.9077
1.8470 1.8470 -5.9077
Gd Sc Tl
1 1 1
direct
0.0000 0.0000 0.0000 Gd
0.3169 0.3169 0.0000 Sc
0.6779 0.6779 0.0000 Tl

GdScTl2, optimized geometry, DFT PBE-GGA; theoretical density = 9.9 g cm⁻³; energy of formation from the pure elements = -0.3295 eV per atom; N(E_F) = 2.7 states/eV/f.u.; energy relative to the lowest polymorph listed for this composition = 0 meV per atom
1.0
3.6681 0.0000 0.0000
0.0000 3.6681 0.0000
0.0000 0.0000 7.6192
Gd Sc Tl
1 1 2
direct
0.0000 0.0000 0.0000 Gd
0.0000 0.0000 0.5000 Sc
0.5000 0.5000 0.2690 Tl
0.5000 0.5000 0.7310 Tl

GdTmScTl, optimized geometry, DFT PBE-GGA; theoretical density = 8.8 g cm⁻³; energy of formation from the pure elements = -0.0621 eV per atom; N(E_F) = 4.8 states/eV/f.u.
1.0
0.0000 3.7859 3.7859
3.7859 0.0000 3.7859
3.7859 3.7859 0.0000
Gd Tm Sc Tl
1 1 1 1
direct
0.0000 0.0000 0.0000 Gd
0.5000 0.5000 0.5000 Tm
0.2500 0.2500 0.2500 Sc
0.7500 0.7500 0.7500 Tl